Here is BaSi2Ru after structural relaxation from the Alexandria database. Energies are from PBE-GGA.

Structure (POSCAR):
```
BaSi2Ru
1.0
4.159 0.000 0.000
-2.079 3.602 0.000
0.000 0.000 18.257
Ba Si Ru
3 6 3
direct
0.000 0.000 0.000
0.333 0.667 0.667
0.667 0.333 0.333
0.000 0.000 0.191
0.000 0.000 0.463
0.333 0.667 0.129
0.333 0.667 0.858
0.667 0.333 0.524
0.667 0.333 0.796
0.000 0.000 0.820
0.333 0.667 0.486
0.667 0.333 0.153
```

Properties
Formation energy without anion corrections   -353 meV per atom
Total moment   0.000 μB/f.u.
D(E_F)   3.26 states/eV/f.u.
Crystal system   trigonal

---

Here is Cs2NaHgCl4 after structural relaxation from the Alexandria database. Energies are from PBE-GGA.

Structure (POSCAR):
```
Cs2NaHgCl4
1.0
0.000 7.637 12.452
3.148 0.000 12.452
3.148 7.637 0.000
Cs Na Hg Cl
4 2 2 8
direct
0.054 0.054 0.696
0.304 0.304 0.946
0.696 0.696 0.054
0.946 0.946 0.304
0.125 0.125 0.125
0.875 0.875 0.875
0.375 0.375 0.375
0.625 0.625 0.625
0.081 0.284 0.402
0.267 0.598 0.716
0.284 0.081 0.733
0.402 0.733 0.081
0.598 0.267 0.919
0.716 0.919 0.267
0.733 0.402 0.284
0.919 0.716 0.598
```

Properties
Formation energy without anion corrections   -1395 meV per atom
Total moment   0.870 μB/f.u.
D(E_F)   3.45 states/eV/f.u.
Crystal system   orthorhombic

---

Here is SrHg2Au5 after structural relaxation from the Alexandria database. Energies are from PBE-GGA.

Structure (POSCAR):
```
SrHg2Au5
1.0
4.172 0.000 0.000
0.000 7.206 0.000
0.000 0.000 12.512
Sr Hg Au
2 4 10
direct
0.000 0.000 0.000
0.500 0.500 0.500
0.000 0.500 0.244
0.000 0.500 0.756
0.500 0.000 0.256
0.500 0.000 0.744
0.000 0.204 0.385
0.000 0.204 0.615
0.000 0.500 0.000
0.000 0.796 0.385
0.000 0.796 0.615
0.500 0.000 0.500
0.500 0.296 0.115
0.500 0.296 0.885
0.500 0.704 0.115
0.500 0.704 0.885
```

Properties
Total moment   0.000 μB/f.u.
D(E_F)   2.49 states/eV/f.u.
Crystal system   orthorhombic
DFT total energy   -41.05 eV/cell

---

Q: Which formula does entry 3 have?
A: SrHg2Au5